The following is a PBE-GGA calculation of SrAc5Tl6 after structural relaxation, from Alexandria.

Unit cell a=10.1291 b=17.5472 c=5.8347 alpha=90.00 beta=125.09 gamma=90.00
Last column: nearest neighbours and their distance in Å.
Space group C2/m (No. 12)
Asymmetric unit:
Sr  0.0000  0.0000  0.0000  8 Tl 3.57-3.58
Ac  0.0000  0.1625  0.5000  8 Tl 3.53-3.65
Ac  0.0000  0.3316  0.0000  8 Tl 3.57-3.61
Ac  0.0000  0.5000  0.5000  8 Tl 3.57-3.58
Tl  0.2500  0.0000  0.7504  6 Ac 3.53-3.61, 2 Sr 3.57-3.58
Tl  0.2502  0.1660  0.2497  7 Ac 3.57-3.65, 1 Sr 3.58

Energy above the most stable polymorph in this dataset   2 meV per atom
DOS at the Fermi energy   13.721 states/eV/f.u.
Crystal system   monoclinic
Raw total energy   -3.400 eV per atom
ΔE_f   -0.365 eV/atom


The following is a PBE-GGA calculation of AlPPt2 after structural relaxation, from Alexandria.

Unit cell a=6.2838 b=6.2838 c=6.2838 alpha=90.00 beta=90.00 gamma=90.00
Last column: nearest neighbours and their distance in Å.
Space group F-43m (No. 216)
Asymmetric unit:
Al  0.0000  0.0000  0.0000  4 Pt 2.72, 4 P 2.72
P  0.2500  0.2500  0.7500  4 Al 2.72, 4 Pt 2.72
Pt  0.0000  0.0000  0.5000  4 Pt 2.72, 4 P 2.72
Pt  0.2500  0.2500  0.2500  4 Al 2.72, 4 Pt 2.72

Energy above the most stable polymorph in this dataset   530 meV per atom
DOS at the Fermi energy   3.735 states/eV/f.u.
Crystal system   cubic
Raw total energy   -5.368 eV per atom
ΔE_f   -0.060 eV/atom


The following is a PBE-GGA calculation of Ag2PtAu6 after structural relaxation, from Alexandria.

Unit cell a=9.1962 b=4.1212 c=8.8205 alpha=90.00 beta=108.02 gamma=90.00
Last column: nearest neighbours and their distance in Å.
Space group C2/m (No. 12)
Asymmetric unit:
Ag  0.1676  0.0000  0.0559  3 Ag 2.91-2.93, 9 Au 2.91-2.95
Pt  0.0000  0.5000  0.5000  12 Au 2.90-2.94
Au  0.0016  0.5000  0.1673  6 Au 2.91-2.94, 5 Ag 2.91-2.94, 1 Pt 2.94
Au  0.1622  0.0000  0.7194  7 Au 2.89-2.94, 2 Pt 2.90, 3 Ag 2.95
Au  0.1683  0.0000  0.3896  8 Au 2.89-2.93, 3 Pt 2.90-2.92, 1 Ag 2.94

Energy above the most stable polymorph in this dataset   0 meV per atom
DOS at the Fermi energy   2.844 states/eV/f.u.
Crystal system   monoclinic
Raw total energy   -3.501 eV per atom
ΔE_f   -0.011 eV/atom


Question: What is the energy above the most stable polymorph in this dataset in the third record?
Answer: 0 meV per atom


Repeat the second record exactly.
The following is a PBE-GGA calculation of AlPPt2 after structural relaxation, from Alexandria.

Unit cell a=6.2838 b=6.2838 c=6.2838 alpha=90.00 beta=90.00 gamma=90.00
Last column: nearest neighbours and their distance in Å.
Space group F-43m (No. 216)
Asymmetric unit:
Al  0.0000  0.0000  0.0000  4 Pt 2.72, 4 P 2.72
P  0.2500  0.2500  0.7500  4 Al 2.72, 4 Pt 2.72
Pt  0.0000  0.0000  0.5000  4 Pt 2.72, 4 P 2.72
Pt  0.2500  0.2500  0.2500  4 Al 2.72, 4 Pt 2.72

Energy above the most stable polymorph in this dataset   530 meV per atom
DOS at the Fermi energy   3.735 states/eV/f.u.
Crystal system   cubic
Raw total energy   -5.368 eV per atom
ΔE_f   -0.060 eV/atom


Question: Which of these has the lowest energy above the most stable polymorph in this dataset?
Answer: Ag2PtAu6